The following is a DFT calculation (PBE-GGA) of a geometry-optimized YErMg14 structure.

Magnetic moment (μB per formula unit): 0.00
Space-group type: P4/mmm, No. 123
VASP energy (eV/atom): -2.113
Fermi-level density of states (states/eV per cell): 6.97

Cell: 6.9145 6.9145 7.9940 Å, 90.00 90.00 90.00°
With the nearest neighbours (Å) after each atom.
Positions (direct):
Y 0.8750 0.8750 0.5000  12 Mg 3.22-3.46
Er 0.3750 0.3750 0.5000  12 Mg 3.21-3.46
Mg 0.8750 0.8750 0.0000  12 Mg 3.11-3.46
Mg 0.3750 0.3750 0.0000  12 Mg 3.10-3.46
Mg 0.8750 0.3750 0.5000  8 Mg 3.21, 2 Er 3.46, 2 Y 3.46
Mg 0.8750 0.3750 0.0000  12 Mg 3.10-3.46
Mg 0.3750 0.8750 0.5000  8 Mg 3.21, 2 Er 3.46, 2 Y 3.46
Mg 0.3750 0.8750 0.0000  12 Mg 3.10-3.46
Mg 0.6239 0.1261 0.2392  8 Mg 3.10-3.44, 1 Er 3.21, 1 Y 3.22
Mg 0.6239 0.1261 0.7608  8 Mg 3.10-3.44, 1 Er 3.21, 1 Y 3.22
Mg 0.1261 0.6239 0.2392  8 Mg 3.10-3.44, 1 Er 3.21, 1 Y 3.22
Mg 0.1261 0.6239 0.7608  8 Mg 3.10-3.44, 1 Er 3.21, 1 Y 3.22
Mg 0.6240 0.6240 0.2391  8 Mg 3.10-3.44, 1 Er 3.21, 1 Y 3.22
Mg 0.6240 0.6240 0.7609  8 Mg 3.10-3.44, 1 Er 3.21, 1 Y 3.22
Mg 0.1260 0.1260 0.2391  8 Mg 3.10-3.44, 1 Er 3.21, 1 Y 3.22
Mg 0.1260 0.1260 0.7609  8 Mg 3.10-3.44, 1 Er 3.21, 1 Y 3.22

The following is a DFT calculation (PBE-GGA) of a geometry-optimized CuPdIO2 structure.

ΔE_f (raw) (eV/atom): 0.23
Magnetic moment (μB per formula unit): 1.92
Space-group type: P4/mmm, No. 123
E above lowest polymorph (meV per atom): 47
VASP energy (eV/atom): -3.920
Fermi-level density of states (states/eV per cell): 5.91

Cell: 3.7569 3.7569 6.8445 Å, 90.00 90.00 90.00°
With the nearest neighbours (Å) after each atom.
Positions (direct):
I 0.0000 0.0000 0.5000  4 Pd 2.66
O 0.0000 0.5000 0.0000  2 Cu 1.88
O 0.5000 0.0000 0.0000  2 Cu 1.88
Cu 0.0000 0.0000 0.0000  4 O 1.88
Pd 0.5000 0.5000 0.5000  4 I 2.66

The following is a DFT calculation (PBE-GGA) of a geometry-optimized CdSbIr2 structure.

ΔE_f (raw) (eV/atom): 0.27
Magnetic moment (μB per formula unit): 0.00
Space-group type: Pmm2, No. 25
E above lowest polymorph (meV per atom): 109
VASP energy (eV/atom): -5.421
Fermi-level density of states (states/eV per cell): 3.59

Cell: 4.9423 3.1069 4.6916 Å, 90.01 90.00 90.00°
With the nearest neighbours (Å) after each atom.
Positions (direct):
Sb 0.0000 0.3751 0.4924  6 Ir 2.67-2.96
Ir 0.0000 0.8750 0.0284  4 Sb 2.67-2.96, 2 Cd 2.81
Ir 0.5000 0.3750 0.2361  2 Sb 2.75, 4 Cd 2.79-2.84, 4 Ir 3.08
Cd 0.5000 0.8750 0.7432  6 Ir 2.79-2.84, 2 Cd 3.11

The following is a DFT calculation (PBE-GGA) of a geometry-optimized ScNbSn2 structure.

Magnetic moment (μB per formula unit): 0.63
Space-group type: Fm-3m, No. 225
E above lowest polymorph (meV per atom): 80
VASP energy (eV/atom): -6.229
Fermi-level density of states (states/eV per cell): 5.94

Cell: 4.9408 4.9408 4.9408 Å, 60.00 60.00 60.00°
With the nearest neighbours (Å) after each atom.
Positions (direct):
Sc 0.0000 0.0000 0.0000  8 Sn 3.03
Nb 0.5000 0.5000 0.5000  8 Sn 3.03
Sn 0.2500 0.2500 0.2500  4 Nb 3.03, 4 Sc 3.03
Sn 0.7500 0.7500 0.7500  4 Nb 3.03, 4 Sc 3.03